3
Lattice="4.901 -1.887 0.000 4.901 1.887 0.000 -0.958 0.000 2.940" Properties=species:S:1:pos:R:3 comment="SnIrAu PBE relaxed" e_tot_ev_per_atom=-5.23 polymorph_energy_mev_per_atom=136 dos_ef_per_ev_fu=1.66 formation_enthalpy_0k_ev_per_atom=0.152 spacegroup=Cm pbc="T T T"
Sn 0.000 0.000 0.000
Ir 3.183 0.000 1.061
Au 6.013 0.000 2.020

4
Lattice="4.957 -1.644 0.000 4.957 1.644 0.000 -1.625 0.000 4.356" Properties=species:S:1:pos:R:3 comment="CuHgAu2 PBE relaxed" e_tot_ev_per_atom=-2.67 dos_ef_per_ev_fu=1.20 formation_enthalpy_0k_ev_per_atom=0.067 spacegroup=C2/m pbc="T T T"
Cu 0.000 0.000 0.000
Hg 4.144 0.000 2.178
Au 1.454 0.000 3.358
Au 6.835 0.000 0.997

4
Lattice="2.905 0.000 0.000 0.000 4.400 0.000 0.000 0.000 4.699" Properties=species:S:1:pos:R:3 comment="Al2TcW PBE relaxed" e_tot_ev_per_atom=-7.80 polymorph_energy_mev_per_atom=215 dos_ef_per_ev_fu=3.45 formation_enthalpy_0k_ev_per_atom=-0.096 spacegroup=Pmm2 pbc="T T T"
Al 0.000 0.000 0.000
Al 0.000 2.200 1.555
Tc 1.453 2.200 3.871
W 1.453 0.000 2.394

5
Lattice="5.574 0.000 0.000 0.000 5.574 0.000 0.000 0.000 5.671" Properties=species:S:1:pos:R:3 comment="ZrZnSbTe2 PBE relaxed" e_tot_ev_per_atom=-3.94 polymorph_energy_mev_per_atom=0 dos_ef_per_ev_fu=4.65 formation_energy_uncorrected_ev_per_fu=0.51 spacegroup=P4/mmm pbc="T T T"
Zr 0.000 0.000 0.000
Zn 2.787 2.787 2.835
Sb 0.000 0.000 2.835
Te 0.000 2.787 0.000
Te 2.787 0.000 0.000

13
Lattice="5.947 3.433 3.946 -5.947 3.433 3.946 0.000 -6.867 3.946" Properties=species:S:1:pos:R:3 comment="La4Nd8Er PBE relaxed" e_tot_ev_per_atom=-4.44 dos_ef_per_ev_fu=27.67 formation_enthalpy_0k_ev_per_atom=0.363 spacegroup=R-3m pbc="T T T"
La 0.000 0.000 0.000
La -2.973 -1.717 3.946
La -2.973 1.717 7.892
La 0.000 3.433 3.946
Nd 0.000 -3.461 3.926
Nd -2.997 1.730 3.926
Nd 0.000 0.000 2.833
Nd -2.997 -1.730 7.912
Nd 2.997 1.730 3.926
Nd 0.000 0.000 9.005
Nd 2.997 -1.730 7.912
Nd 0.000 3.461 7.912
Er 0.000 0.000 5.919

11
Lattice="6.549 0.000 0.000 -0.262 6.721 0.000 -1.004 -2.452 7.904" Properties=species:S:1:pos:R:3 comment="Li2Ag2Te7 PBE relaxed" e_tot_ev_per_atom=-3.03 dos_ef_per_ev_fu=4.93 formation_energy_uncorrected_ev_per_fu=-1.85 spacegroup=P-1 pbc="T T T"
Li 1.292 1.786 0.314
Li 3.991 2.483 7.590
Ag 0.598 3.411 3.083
Ag 4.684 0.857 4.821
Te -0.231 2.904 5.773
Te 0.632 5.970 1.551
Te 2.091 0.610 6.422
Te 2.772 -1.226 3.952
Te 3.191 3.659 1.482
Te 4.651 -1.702 6.353
Te 5.514 1.365 2.131

20
Lattice="4.625 -7.609 0.000 4.625 7.609 0.000 -1.178 0.000 9.537" Properties=species:S:1:pos:R:3 comment="Pm6SmHoEr2 PBE relaxed" e_tot_ev_per_atom=-4.58 dos_ef_per_ev_fu=14.33 formation_enthalpy_0k_ev_per_atom=0.116 spacegroup=C2/c pbc="T T T"
Pm 2.427 4.199 1.767
Pm 3.398 4.893 5.292
Pm 4.086 4.893 9.013
Pm 3.275 1.670 3.643
Pm 6.233 4.199 3.001
Pm 5.386 1.670 1.126
Pm 2.686 -1.670 8.411
Pm 1.839 -4.199 6.535
Pm 4.798 -1.670 5.894
Pm 3.986 -4.893 0.524
Pm 4.674 -4.893 4.245
Pm 5.645 -4.199 7.770
Sm 4.330 7.174 2.384
Sm 3.742 -7.174 7.152
Ho 3.742 1.360 7.152
Ho 4.330 -1.360 2.384
Er 2.267 0.752 0.450
Er 1.679 -0.752 5.218
Er 6.394 0.752 4.318
Er 5.805 -0.752 9.086

11
Lattice="4.473 -4.167 0.000 4.473 4.167 0.000 -0.554 0.000 5.776" Properties=species:S:1:pos:R:3 comment="Li3PmAg7 PBE relaxed" e_tot_ev_per_atom=-2.83 dos_ef_per_ev_fu=4.44 formation_enthalpy_0k_ev_per_atom=-0.062 spacegroup=C2/m pbc="T T T"
Li 0.000 0.000 0.000
Li 4.196 2.558 2.888
Li 4.196 -2.558 2.888
Pm 4.473 0.000 0.000
Ag 2.024 1.467 1.290
Ag 1.545 0.000 3.836
Ag 2.024 -1.467 1.290
Ag 4.196 0.000 2.888
Ag 6.368 1.467 4.486
Ag 6.847 0.000 1.940
Ag 6.368 -1.467 4.486